## BaNaAlF6 (PBE)

Data for a relaxed structure of BaNaAlF6.

Values from the calculation:
- Uncorrected formation energy: -3.55 eV per atom
- Crystal system: orthorhombic
- ΔE to the lowest computed polymorph: 0.0 meV/atom

Cell lengths 18.9283, 5.5163, 10.0267 Å; angles 90.00, 90.00, 90.00 degrees
Last column: nearest neighbours and their distance in Å.
Sites, in units of the cell vectors:
Ba  0.1110  0.2407  0.0000  7 F 2.64-2.93
Ba  0.1376  0.7359  0.6307  8 F 2.63-2.93
Ba  0.3624  0.2359  0.1307  8 F 2.63-2.93
Ba  0.3890  0.7407  0.5000  7 F 2.64-2.93
Ba  0.6110  0.2593  0.0000  7 F 2.64-2.93
Ba  0.6376  0.7641  0.6307  8 F 2.63-2.93
Ba  0.8624  0.2641  0.1307  8 F 2.63-2.93
Ba  0.8890  0.7593  0.5000  7 F 2.64-2.93
Na  0.0665  0.7359  0.2647  6 F 2.31-2.51
Na  0.1861  0.2409  0.3659  7 F 2.34-2.60
Na  0.3139  0.7409  0.8659  7 F 2.34-2.60
Na  0.4335  0.2359  0.7647  6 F 2.31-2.51
Na  0.5665  0.7641  0.2647  6 F 2.31-2.51
Na  0.6861  0.2591  0.3659  7 F 2.34-2.60
Na  0.8139  0.7591  0.8659  7 F 2.34-2.60
Na  0.9335  0.2641  0.7647  6 F 2.31-2.51
Al  0.0078  0.2311  0.3913  6 F 1.82-1.85
Al  0.2431  0.7512  0.2381  6 F 1.81-1.85
Al  0.2569  0.2512  0.7381  6 F 1.81-1.85
Al  0.4922  0.7311  0.8913  6 F 1.82-1.85
Al  0.5078  0.2689  0.3913  6 F 1.82-1.85
Al  0.7431  0.7488  0.2381  6 F 1.81-1.85
Al  0.7569  0.2488  0.7381  6 F 1.81-1.85
Al  0.9922  0.7689  0.8913  6 F 1.82-1.85
F  0.0303  0.5109  0.8004  1 Al 1.84
F  0.0368  0.9542  0.4771  1 Al 1.84
F  0.0520  0.7067  0.0303  1 Al 1.83
F  0.0593  0.9612  0.8091  1 Al 1.85
F  0.0679  0.1602  0.2515  1 Al 1.85
F  0.0777  0.4233  0.4562  1 Al 1.82
F  0.1751  0.5528  0.1723  1 Al 1.81
F  0.1822  0.8145  0.3779  1 Al 1.85
F  0.1922  0.4530  0.8207  1 Al 1.85
F  0.1961  0.1961  0.6001  1 Al 1.83
F  0.2114  0.0239  0.1520  1 Al 1.84
F  0.2175  0.9967  0.8288  1 Al 1.83
F  0.2825  0.4967  0.3288  1 Al 1.83
F  0.2886  0.5239  0.6520  1 Al 1.84
F  0.3039  0.6961  0.1001  1 Al 1.83
F  0.3078  0.9530  0.3207  1 Al 1.85
F  0.3178  0.3145  0.8779  1 Al 1.85
F  0.3249  0.0528  0.6723  1 Al 1.81
F  0.4223  0.9233  0.9562  1 Al 1.82
F  0.4321  0.6602  0.7515  1 Al 1.85
F  0.4407  0.4612  0.3091  1 Al 1.85
F  0.4480  0.2067  0.5303  1 Al 1.83
F  0.4632  0.4542  0.9771  1 Al 1.84
F  0.4697  0.0109  0.3004  1 Al 1.84
F  0.5303  0.9891  0.8004  1 Al 1.84
F  0.5368  0.5458  0.4771  1 Al 1.84
F  0.5520  0.7933  0.0303  1 Al 1.83
F  0.5593  0.5388  0.8091  1 Al 1.85
F  0.5679  0.3398  0.2515  1 Al 1.85
F  0.5777  0.0767  0.4562  1 Al 1.82
F  0.6751  0.9472  0.1723  1 Al 1.81
F  0.6822  0.6855  0.3779  1 Al 1.85
F  0.6922  0.0470  0.8207  1 Al 1.85
F  0.6961  0.3039  0.6001  1 Al 1.83
F  0.7114  0.4761  0.1520  1 Al 1.84
F  0.7175  0.5033  0.8288  1 Al 1.83
F  0.7825  0.0033  0.3288  1 Al 1.83
F  0.7886  0.9761  0.6520  1 Al 1.84
F  0.8039  0.8039  0.1001  1 Al 1.83
F  0.8078  0.5470  0.3207  1 Al 1.85
F  0.8178  0.1855  0.8779  1 Al 1.85
F  0.8249  0.4472  0.6723  1 Al 1.81
F  0.9223  0.5767  0.9562  1 Al 1.82
F  0.9321  0.8398  0.7515  1 Al 1.85
F  0.9407  0.0388  0.3091  1 Al 1.85
F  0.9480  0.2933  0.5303  1 Al 1.83
F  0.9632  0.0458  0.9771  1 Al 1.84
F  0.9697  0.4891  0.3004  1 Al 1.84

***

## CaZn (PBE)

Data for a relaxed structure of CaZn.

Values from the calculation:
- Formation energy from the elements: -0.016 eV per atom
- Crystal system: trigonal

Cell lengths 4.0239, 4.0239, 8.5703 Å; angles 90.00, 90.00, 120.00 degrees
Last column: nearest neighbours and their distance in Å.
Sites, in units of the cell vectors:
Ca  0.3333  0.6667  0.1873  4 Zn 3.15-3.23
Ca  0.6667  0.3333  0.8127  4 Zn 3.15-3.23
Zn  0.3333  0.6667  0.5646  3 Zn 2.57
Zn  0.6667  0.3333  0.4354  3 Zn 2.57

***

## W2SeBr (PBE)

Data for a relaxed structure of W2SeBr.

Values from the calculation:
- Uncorrected formation energy: 0.51 eV per atom
- Crystal system: orthorhombic
- ΔE to the lowest computed polymorph: 368.4 meV/atom

Cell lengths 3.0471, 3.0471, 9.8526 Å; angles 90.00, 90.00, 113.90 degrees
Last column: nearest neighbours and their distance in Å.
Sites, in units of the cell vectors:
W  0.0000  0.0000  0.0000  2 W 2.56, 2 Br 2.77
W  0.5000  0.5000  0.1975  2 W 2.56, 2 Se 2.65
Se  0.0000  0.0000  0.4069  2 W 2.65
Br  0.5000  0.5000  0.7746  2 W 2.77, 4 Br 3.05

***

## YCrP2 (PBE)

Data for a relaxed structure of YCrP2.

Values from the calculation:
- Formation energy from the elements: -0.314 eV per atom
- Crystal system: cubic
- ΔE to the lowest computed polymorph: 592.6 meV/atom

Cell lengths 4.5222, 4.5222, 4.5222 Å; angles 60.00, 60.00, 60.00 degrees
Last column: nearest neighbours and their distance in Å.
Sites, in units of the cell vectors:
Y  0.0000  0.0000  0.0000  8 P 2.77
Cr  0.5000  0.5000  0.5000  8 P 2.77
P  0.2500  0.2500  0.2500  4 Cr 2.77, 4 Y 2.77
P  0.7500  0.7500  0.7500  4 Cr 2.77, 4 Y 2.77

***

## Hg2TeMo (PBE)

Data for a relaxed structure of Hg2TeMo.

Values from the calculation:
- Uncorrected formation energy: 0.34 eV per atom
- Crystal system: monoclinic

Cell lengths 4.4297, 3.3353, 7.4150 Å; angles 90.00, 107.29, 90.00 degrees
Last column: nearest neighbours and their distance in Å.
Sites, in units of the cell vectors:
Hg  0.0000  0.0000  0.0000  1 Mo 2.81
Hg  0.3531  0.5000  0.7022  4 Mo 2.86
Te  0.6591  0.5000  0.3133  2 Mo 2.65
Mo  0.8041  0.0000  0.6036  2 Te 2.65, 5 Hg 2.81-2.86

***

## KMgGaTe3 (PBE)

Data for a relaxed structure of KMgGaTe3.

Values from the calculation:
- Uncorrected formation energy: -0.68 eV per atom
- Crystal system: monoclinic

Cell lengths 9.4850, 4.2698, 11.2909 Å; angles 90.00, 108.31, 90.00 degrees
Last column: nearest neighbours and their distance in Å.
Sites, in units of the cell vectors:
K  0.2090  0.2500  0.2118  5 Te 3.46-3.81
K  0.7910  0.7500  0.7882  5 Te 3.46-3.81
Mg  0.3590  0.7500  0.9047  5 Te 2.84-3.07
Mg  0.6410  0.2500  0.0953  5 Te 2.84-3.07
Ga  0.0883  0.2500  0.6244  4 Te 2.57-2.75
Ga  0.9117  0.7500  0.3756  4 Te 2.57-2.75
Te  0.1143  0.2500  0.8583  1 Ga 2.57
Te  0.1998  0.7500  0.5322  3 Ga 2.73-2.75
Te  0.4764  0.7500  0.1688  3 Mg 2.84-2.92
Te  0.5236  0.2500  0.8312  3 Mg 2.84-2.92
Te  0.8002  0.2500  0.4678  3 Ga 2.73-2.75
Te  0.8857  0.7500  0.1417  1 Ga 2.57

***

## CeCdH (PBE)

Data for a relaxed structure of CeCdH.

Values from the calculation:
- Crystal system: tetragonal
- ΔE to the lowest computed polymorph: 239.1 meV/atom

Cell lengths 6.2839, 6.2839, 6.2839 Å; angles 150.71, 150.71, 41.91 degrees
Last column: nearest neighbours and their distance in Å.
Sites, in units of the cell vectors:
Ce  0.0000  0.0000  0.0000  4 H 2.33
Cd  0.2826  0.2826  0.0000  5 H 3.16-3.52, 4 Cd 3.18, 5 Ce 3.32-3.40
H  0.5515  0.5515  0.0000  4 Ce 2.33

***

## AcTbSmAl (PBE)

Data for a relaxed structure of AcTbSmAl.

Values from the calculation:
- Formation energy from the elements: 0.064 eV per atom
- Crystal system: cubic

Cell lengths 5.5541, 5.5541, 5.5541 Å; angles 60.00, 60.00, 60.00 degrees
Last column: nearest neighbours and their distance in Å.
Sites, in units of the cell vectors:
Ac  0.0000  0.0000  0.0000  4 Tb 3.40, 4 Sm 3.40
Tb  0.7500  0.7500  0.7500  4 Al 3.40, 4 Ac 3.40
Sm  0.2500  0.2500  0.2500  4 Al 3.40, 4 Ac 3.40
Al  0.5000  0.5000  0.5000  4 Sm 3.40, 4 Tb 3.40

***

## Sr4PBr (PBE)

Data for a relaxed structure of Sr4PBr.

Values from the calculation:
- Uncorrected formation energy: 0.18 eV per atom
- Crystal system: cubic

Cell lengths 7.0423, 7.0423, 7.0423 Å; angles 60.00, 60.00, 60.00 degrees
Last column: nearest neighbours and their distance in Å.
Sites, in units of the cell vectors:
Sr  0.3763  0.3763  0.3763  6 Sr 3.48-3.56
Sr  0.3763  0.3763  0.8711  6 Sr 3.48-3.56
Sr  0.3763  0.8711  0.3763  6 Sr 3.48-3.56
Sr  0.8711  0.3763  0.3763  6 Sr 3.48-3.56
P  0.7500  0.7500  0.7500  12 Sr 4.13, 4 Br 4.31
Br  0.0000  0.0000  0.0000  12 Sr 4.13, 4 P 4.31

***

## RbHgHF6 (PBE)

Data for a relaxed structure of RbHgHF6.

Values from the calculation:
- Crystal system: triclinic

Cell lengths 4.7631, 5.5973, 5.8905 Å; angles 92.74, 107.36, 92.85 degrees
Last column: nearest neighbours and their distance in Å.
Sites, in units of the cell vectors:
Rb  0.0000  0.0000  0.0000  8 F 2.91-3.17
Hg  0.4990  0.5002  0.5004  4 F 1.97-1.98
H  0.4996  0.5004  0.0005  2 F 1.15
F  0.1155  0.5946  0.2979  1 Hg 1.97
F  0.3128  0.1824  0.5230  1 Hg 1.98
F  0.4741  0.6718  0.8968  1 H 1.15
F  0.5247  0.3291  0.1041  1 H 1.15
F  0.6852  0.8179  0.4777  1 Hg 1.98
F  0.8823  0.4058  0.7030  1 Hg 1.97

***

## Pm3Al3Cu8 (PBE)

Data for a relaxed structure of Pm3Al3Cu8.

Values from the calculation:
- Formation energy from the elements: -0.305 eV per atom
- Crystal system: monoclinic
- ΔE to the lowest computed polymorph: 0.0 meV/atom

Cell lengths 7.9535, 7.9535, 8.9400 Å; angles 120.74, 120.74, 30.60 degrees
Last column: nearest neighbours and their distance in Å.
Sites, in units of the cell vectors:
Pm  0.0000  0.0000  0.0000  8 Cu 2.84-3.06
Pm  0.3029  0.3029  0.3441  10 Cu 2.99-3.16, 5 Al 3.29-3.32
Pm  0.6971  0.6971  0.6559  10 Cu 2.99-3.16, 5 Al 3.29-3.32
Al  0.0000  0.0000  0.5000  8 Cu 2.45-2.73
Al  0.3183  0.3183  0.9883  5 Cu 2.52-2.61
Al  0.6817  0.6817  0.0117  5 Cu 2.52-2.61
Cu  0.1088  0.1088  0.3750  1 Al 2.45, 4 Cu 2.51-2.62
Cu  0.1248  0.1248  0.8270  4 Al 2.51-2.52, 2 Cu 2.58
Cu  0.3546  0.3546  0.7363  3 Cu 2.51-2.55, 1 Al 2.59
Cu  0.4900  0.4900  0.2964  5 Cu 2.55-2.62, 3 Al 2.61-2.73
Cu  0.5100  0.5100  0.7036  5 Cu 2.55-2.62, 3 Al 2.61-2.73
Cu  0.6454  0.6454  0.2637  3 Cu 2.51-2.55, 1 Al 2.59
Cu  0.8752  0.8752  0.1730  4 Al 2.51-2.52, 2 Cu 2.58
Cu  0.8912  0.8912  0.6250  1 Al 2.45, 4 Cu 2.51-2.62

***

## Pr2Ga4CuRu3 (PBE)

Data for a relaxed structure of Pr2Ga4CuRu3.

Values from the calculation:
- Formation energy from the elements: -0.389 eV per atom
- Crystal system: tetragonal

Cell lengths 4.1973, 4.1973, 10.6524 Å; angles 90.00, 90.00, 90.00 degrees
Last column: nearest neighbours and their distance in Å.
Sites, in units of the cell vectors:
Pr  0.0000  0.5000  0.2499  6 Ru 3.22-3.39, 8 Ga 3.24-3.39, 2 Cu 3.39
Pr  0.5000  0.0000  0.7501  6 Ru 3.22-3.39, 8 Ga 3.24-3.39, 2 Cu 3.39
Ga  0.0000  0.0000  0.0000  4 Ru 2.54
Ga  0.0000  0.5000  0.6278  3 Ru 2.50-2.54, 2 Cu 2.50
Ga  0.5000  0.0000  0.3722  3 Ru 2.50-2.54, 2 Cu 2.50
Ga  0.5000  0.5000  0.0000  4 Ru 2.54
Cu  0.0000  0.0000  0.5000  4 Ga 2.50
Ru  0.0000  0.5000  0.8663  5 Ga 2.54
Ru  0.5000  0.0000  0.1337  5 Ga 2.54
Ru  0.5000  0.5000  0.5000  4 Ga 2.50

***

| no. | E_tot (eV/cell) | size of the total moment (μB per formula unit) |
| --- | --- | --- |
| 1 | -401.2 | 0.00 |
| 2 | -6.6 | 0.00 |
| 3 | -29.0 | 0.00 |
| 4 | -28.2 | 0.97 |
| 5 | -13.2 | 0.00 |
| 6 | -38.5 | 0.00 |
| 7 | -10.4 | 1.00 |
| 8 | -16.9 | 0.00 |
| 9 | -12.8 | 0.00 |
| 10 | -29.7 | 0.04 |
| 11 | -62.5 | 0.00 |
| 12 | -57.5 | 0.00 |